! PBE-GGA SrNi2Te, relaxed; values from VASP
&SYSTEM
  ibrav = 0, nat = 4, ntyp = 3
/
ATOMIC_SPECIES
Sr 87.62 Sr.upf
Ni 58.69 Ni.upf
Te 127.60 Te.upf
CELL_PARAMETERS angstrom
4.5003 0.0000 0.0000
0.0000 4.5003 0.0000
0.0000 0.0000 3.9023
ATOMIC_POSITIONS crystal
Sr 0.0000 0.0000 0.0000
Ni 0.0000 0.5000 0.5000
Ni 0.5000 0.0000 0.5000
Te 0.5000 0.5000 0.0000
! Energy relative to the elements, uncorrected   0.04 eV per atom
! DFT total energy   -16.2 eV for the cell shown
! Total magnetization   0.00 μB per cell

---

! PBE-GGA La3Ce4Sn4, relaxed; values from VASP
&SYSTEM
  ibrav = 0, nat = 11, ntyp = 3
/
ATOMIC_SPECIES
La 138.91 La.upf
Ce 140.12 Ce.upf
Sn 118.71 Sn.upf
CELL_PARAMETERS angstrom
-4.6347 4.6347 4.6347
4.6347 -4.6347 4.6347
4.6347 4.6347 -4.6347
ATOMIC_POSITIONS crystal
La 0.0000 0.5000 0.5000
La 0.5000 0.0000 0.5000
La 0.5000 0.5000 0.0000
Ce 0.0000 0.0000 0.7580
Ce 0.0000 0.7580 0.0000
Ce 0.2420 0.2420 0.2420
Ce 0.7580 0.0000 0.0000
Sn 0.0000 0.0000 0.3942
Sn 0.0000 0.3942 0.0000
Sn 0.3942 0.0000 0.0000
Sn 0.6058 0.6058 0.6058
! DFT total energy   -55.8 eV for the cell shown
! ΔE_f   -0.114 eV/atom
! Total magnetization   4.93 μB per cell

---

! PBE-GGA MgRh2Pb, relaxed; values from VASP
&SYSTEM
  ibrav = 0, nat = 8, ntyp = 3
/
ATOMIC_SPECIES
Mg 24.30 Mg.upf
Rh 102.91 Rh.upf
Pb 207.20 Pb.upf
CELL_PARAMETERS angstrom
9.8914 0.0000 0.0000
0.0000 3.1503 0.0000
-1.2385 0.0000 4.4662
ATOMIC_POSITIONS crystal
Mg 0.0000 0.0000 0.0000
Mg 0.5000 0.5000 0.0000
Rh 0.2409 0.5000 0.1139
Rh 0.4882 0.0000 0.4937
Rh 0.7409 0.0000 0.1139
Rh 0.9882 0.5000 0.4937
Pb 0.2299 0.0000 0.6121
Pb 0.7299 0.5000 0.6121
! DFT total energy   -41.5 eV for the cell shown
! ΔE_f   -0.192 eV/atom
! Total magnetization   0.00 μB per cell

---

! PBE-GGA Sr3ZrNi, relaxed; values from VASP
&SYSTEM
  ibrav = 0, nat = 5, ntyp = 3
/
ATOMIC_SPECIES
Sr 87.62 Sr.upf
Zr 91.22 Zr.upf
Ni 58.69 Ni.upf
CELL_PARAMETERS angstrom
6.0240 0.0000 0.0000
0.0000 6.0240 0.0000
0.0000 0.0000 6.0240
ATOMIC_POSITIONS crystal
Sr 0.0000 0.0000 0.5000
Sr 0.0000 0.5000 0.0000
Sr 0.5000 0.0000 0.0000
Zr 0.0000 0.0000 0.0000
Ni 0.5000 0.5000 0.5000
! DFT total energy   -12.8 eV for the cell shown
! ΔE_f   1.321 eV/atom
! Total magnetization   2.51 μB per cell

---

Repeat the first record exactly.
! PBE-GGA SrNi2Te, relaxed; values from VASP
&SYSTEM
  ibrav = 0, nat = 4, ntyp = 3
/
ATOMIC_SPECIES
Sr 87.62 Sr.upf
Ni 58.69 Ni.upf
Te 127.60 Te.upf
CELL_PARAMETERS angstrom
4.5003 0.0000 0.0000
0.0000 4.5003 0.0000
0.0000 0.0000 3.9023
ATOMIC_POSITIONS crystal
Sr 0.0000 0.0000 0.0000
Ni 0.0000 0.5000 0.5000
Ni 0.5000 0.0000 0.5000
Te 0.5000 0.5000 0.0000
! Energy relative to the elements, uncorrected   0.04 eV per atom
! DFT total energy   -16.2 eV for the cell shown
! Total magnetization   0.00 μB per cell